Density functional theory data (SCAN) for a crystal of Ni3Ag relaxed with PBEsol.

Geometry as POSCAR:
```
Ni3Ag
1.0
2.5881 0.0000 0.0000
-1.2940 2.2413 0.0000
0.0000 0.0000 8.3243
Ni Ag
3 1
Direct
0.0000 0.0000 0.0000
0.6667 0.3333 0.2287
0.6667 0.3333 0.7713
0.0000 0.0000 0.5000
```

Space group: P-6m2 (187)
M_tot, μB/atom: 0.566
Formation enthalpy at 0 K, eV/atom: 0.2387
N(E_F), states/eV/atom: 0.6993



Density functional theory data (SCAN) for a crystal of NiAg relaxed with PBEsol.

Geometry as POSCAR:
```
NiAg
1.0
2.6776 0.0000 0.0000
-1.3388 2.3188 0.0000
0.0000 0.0000 4.3605
Ni Ag
1 1
Direct
0.0000 0.0000 0.0000
0.3333 0.6667 0.5000
```

Space group: P-6m2 (187)
M_tot, μB/atom: 0.285
Formation enthalpy at 0 K, eV/atom: 0.3603
N(E_F), states/eV/atom: 0.7738



Density functional theory data (SCAN) for a crystal of NiAgO2 relaxed with PBEsol.

Geometry as POSCAR:
```
NiAgO2
1.0
2.8972 0.0000 0.0000
-1.4486 2.5091 0.0000
0.0000 0.0000 12.1690
Ni Ag O
2 2 4
Direct
0.0000 0.0000 0.0000
0.0000 0.0000 0.5000
0.3333 0.6667 0.2500
0.6667 0.3333 0.7500
0.3333 0.6667 0.0791
0.3333 0.6667 0.4209
0.6667 0.3333 0.5791
0.6667 0.3333 0.9209
```

Space group: P6_3/mmc (194)
M_tot, μB/atom: 0.250
Raw formation energy, meV per atom: -888
N(E_F), states/eV/atom: 0.3818